Density functional theory data (PBE) for a relaxed Zn3Br crystal.

Values from the calculation:
The value obtained for the calculated total energy is -1.2923 eV/atom. As for the space group: Immm. The crystal system is orthorhombic. For the density of states at the Fermi level, the calculation gives 0.235 states/eV per atom. For the offset from the most stable computed form, the calculation gives 0.963 eV/f.u. As for the magnetization: 0.000 μB/cell. For the uncorrected formation energy, the calculation gives 81 meV/atom.

Unit cell a=5.4068 b=5.4068 c=5.4068 alpha=140.37 beta=110.73 gamma=82.87
Closest atoms and distances in Å follow each position.
Fractional coordinates of all 4 atoms:
Br  0.5000  0.0000  0.5000  4 Zn 2.86
Zn  0.7708  0.7708  0.0000  2 Zn 2.61, 2 Br 2.86
Zn  0.2292  0.2292  0.0000  2 Zn 2.61, 2 Br 2.86
Zn  0.0000  0.5000  0.5000  4 Zn 2.61